# MgSc2Hg6

An optimized crystal structure of MgSc2Hg6 (PBE-GGA, Alexandria via LeMat-Bulk).

Calculated volume in A^3/atom: 23.70
Calculated density in kg/m³: 10258
Relative energy among the computed polymorphs in meV per atom: 80
E_form in kJ/mol of atoms: -13.6
M_tot in μB/atom: 0.000

Cell: 5.244 7.892 6.974 Å, 124.46 111.43 90.00°
Atoms (fractional coordinates):
Hg (0.500, 0.187, 0.000)
Hg (0.831, 0.520, 0.664)
Hg (0.500, 0.813, 0.000)
Hg (0.169, 0.856, 0.336)
Hg (0.831, 0.144, 0.664)
Hg (0.169, 0.480, 0.336)
Sc (0.668, 0.667, 0.335)
Sc (0.332, 0.333, 0.665)
Mg (0.000, 0.000, 0.000)